Entry 1:
VASP calculation (PBE) on crystalline Ho2GaAg2 at its relaxed geometry.

ρ (g/cm³): 9.0
Energy relative to the elements (meV/atom): -367
Offset from the most stable computed form (eV per formula unit): 0.00

Cell lengths 10.960, 3.793, 11.713 Å; angles 90.00, 111.96, 90.00 degrees
Space group C2/m (No. 12)
Unique sites:
Ho: 0.019 0.000 0.171 (multiplicity 4)
Ho: 0.189 0.000 0.607 (multiplicity 4)
Ga: 0.197 0.500 0.812 (multiplicity 4)
Ag: 0.035 0.500 0.391 (multiplicity 4)
Ag: 0.154 0.500 0.037 (multiplicity 4)

Entry 2:
VASP calculation (PBE) on crystalline Ho6Ga2Ag at its relaxed geometry.

ρ (g/cm³): 8.0
Energy relative to the elements (meV/atom): -151
Offset from the most stable computed form (eV per formula unit): 1.75

Cell lengths 4.906, 7.030, 14.938 Å; angles 90.00, 90.00, 90.00 degrees
Space group Immm (No. 71)
Unique sites:
Ho: 0.000 0.248 0.000 (multiplicity 4)
Ho: 0.000 0.249 0.332 (multiplicity 8)
Ga: 0.000 0.000 0.167 (multiplicity 4)
Ag: 0.000 0.000 0.500 (multiplicity 2)

| no. | magnetic moment (μB/cell) | E_tot (eV/atom) |
| --- | --- | --- |
| 1 | 0.00 | -3.94 |
| 2 | 0.00 | -4.19 |